Record 1
The following is a DFT calculation (PBE) of a geometry-optimized AcGdRu2 structure.

```
AcGdRu2
1.0
0.000 3.551 3.551
3.551 0.000 3.551
3.551 3.551 0.000
Ac Gd Ru
1 1 2
Cartesian
0.000 0.000 0.000
3.551 3.551 3.551
1.776 1.776 1.776
5.327 5.327 5.327
```

Calculated values
The magnetization comes out at 6.9 μB per formula unit. The space group is Fm-3m (225). The density of states at the Fermi level is 3.965 states/eV/cell. As for the formation energy: -0.042 eV per atom. Its crystal system is cubic.

Record 2
The following is a DFT calculation (PBE) of a geometry-optimized AcGdRu2 structure.

```
AcGdRu2
1.0
2.364 1.365 5.335
-2.364 1.365 5.335
0.000 -2.730 5.335
Ac Gd Ru
1 1 2
Cartesian
0.000 0.000 0.000
0.000 0.000 8.003
0.000 0.000 3.067
0.000 0.000 12.939
```

Calculated values
The magnetization comes out at 6.9 μB per formula unit. The space group is R-3m (166). The density of states at the Fermi level is 4.516 states/eV/cell. As for the formation energy: 0.070 eV per atom. Its crystal system is trigonal.

Record 3
The following is a DFT calculation (PBE) of a geometry-optimized AcGdRu2 structure.

```
AcGdRu2
1.0
3.560 0.000 0.000
0.000 3.560 0.000
0.000 0.000 7.087
Ac Gd Ru
1 1 2
Cartesian
0.000 0.000 0.000
0.000 0.000 3.544
1.780 1.780 1.869
1.780 1.780 5.219
```

Calculated values
The magnetization comes out at 6.8 μB per formula unit. The space group is P4/mmm (123). The density of states at the Fermi level is 4.621 states/eV/cell. As for the formation energy: -0.029 eV per atom. Its crystal system is tetragonal.

Record 4
The following is a DFT calculation (PBE) of a geometry-optimized Ac3GdRu structure.

```
Ac3GdRu
1.0
5.796 0.000 0.000
0.000 5.796 0.000
0.000 0.000 5.796
Ac Gd Ru
3 1 1
Cartesian
0.000 0.000 2.898
0.000 2.898 0.000
2.898 0.000 0.000
2.898 2.898 2.898
0.000 0.000 0.000
```

Calculated values
The magnetization comes out at 8.0 μB per formula unit. The space group is Pm-3m (221). The density of states at the Fermi level is 10.240 states/eV/cell. As for the formation energy: -0.012 eV per atom. Its crystal system is cubic.

Record 5
The following is a DFT calculation (PBE) of a geometry-optimized AcGd2Ru structure.

```
AcGd2Ru
1.0
1.933 1.116 10.680
-1.933 1.116 10.680
0.000 -2.233 10.680
Ac Gd Ru
1 2 1
Cartesian
0.000 0.000 0.000
0.000 0.000 3.746
0.000 0.000 28.294
0.000 0.000 16.020
```

Calculated values
The magnetization comes out at 14.4 μB per formula unit. The space group is R-3m (166). The density of states at the Fermi level is 3.782 states/eV/cell. As for the formation energy: 0.053 eV per atom. Its crystal system is trigonal.

Record 6
The following is a DFT calculation (PBE) of a geometry-optimized AcGdTlRu structure.

```
AcGdTlRu
1.0
0.000 3.777 3.777
3.777 0.000 3.777
3.777 3.777 0.000
Ac Gd Tl Ru
1 1 1 1
Cartesian
0.000 0.000 0.000
3.777 3.777 3.777
5.666 5.666 5.666
1.889 1.889 1.889
```

Calculated values
The magnetization comes out at 7.0 μB per formula unit. The space group is F-43m (216). The density of states at the Fermi level is 2.927 states/eV/cell. As for the formation energy: -0.081 eV per atom. Its crystal system is cubic.

Record 7
The following is a DFT calculation (PBE) of a geometry-optimized AcGd3S structure.

```
AcGd3S
1.0
5.456 0.000 0.000
0.000 5.456 0.000
0.000 0.000 5.456
Ac Gd S
1 3 1
Cartesian
0.000 0.000 0.000
0.000 2.728 2.728
2.728 0.000 2.728
2.728 2.728 0.000
2.728 2.728 2.728
```

Calculated values
The magnetization comes out at 22.3 μB per formula unit. The uncorrected formation energy is -0.683 eV/atom. The space group is Pm-3m (221). The density of states at the Fermi level is 6.934 states/eV/cell. Its crystal system is cubic.

Record 8
The following is a DFT calculation (PBE) of a geometry-optimized AcGd2S structure.

```
AcGd2S
1.0
1.897 1.095 10.504
-1.897 1.095 10.504
0.000 -2.190 10.504
Ac Gd S
1 2 1
Cartesian
0.000 0.000 0.000
0.000 0.000 3.638
0.000 0.000 27.874
0.000 0.000 15.756
```

Calculated values
The magnetization comes out at 14.7 μB per formula unit. The uncorrected formation energy is -0.807 eV/atom. The space group is R-3m (166). The density of states at the Fermi level is 4.539 states/eV/cell. Its crystal system is trigonal.

| no. | DFT total energy (eV per atom) |
| --- | --- |
| 1 | -9.228 |
| 2 | -9.116 |
| 3 | -9.214 |
| 4 | -7.149 |
| 5 | -10.334 |
| 6 | -7.539 |
| 7 | -10.778 |
| 8 | -9.906 |